w.
The following is a DFT calculation (PBE) of a relaxed structure of YScAg.

**Crystal system**: trigonal
**Space group**: R-3m

Unit cell a=4.879 b=4.879 c=8.475 alpha=73.27 beta=73.27 gamma=60.00
Element x y z (fractional)
Sc  0.629  0.629  0.113
Sc  0.371  0.371  0.887
Y  0.879  0.879  0.362
Y  0.121  0.121  0.638
Ag  0.746  0.746  0.761
Ag  0.254  0.254  0.239



x.
The following is a DFT calculation (PBE) of a relaxed structure of YScAg.

**Crystal system**: trigonal
**Space group**: P3m1

Unit cell a=4.875 b=4.875 c=3.615 alpha=90.00 beta=90.00 gamma=120.00
Element x y z (fractional)
Ag  0.000  0.000  0.082
Sc  0.333  0.667  0.224
Y  0.667  0.333  0.694



The computed energies, referenced to the most stable structure and given in meV/atom, are w 120; x 0.



w.
The following is a DFT calculation (PBE) of a relaxed structure of YSc4Ag.

**Crystal system**: cubic
**Space group**: F-43m

Unit cell a=5.987 b=5.987 c=5.987 alpha=60.00 beta=60.00 gamma=60.00
Element x y z (fractional)
Sc  0.376  0.376  0.376
Sc  0.376  0.376  0.873
Sc  0.873  0.376  0.376
Sc  0.376  0.873  0.376
Ag  0.000  0.000  0.000
Y  0.750  0.750  0.750



x.
The following is a DFT calculation (PBE) of a relaxed structure of YSc4Ag.

**Crystal system**: orthorhombic
**Space group**: Cmc2_1

Unit cell a=5.210 b=6.045 c=9.889 alpha=90.00 beta=105.27 gamma=90.00
Element x y z (fractional)
Sc  0.543  0.597  0.086
Sc  0.746  0.887  0.493
Sc  0.860  0.263  0.720
Sc  0.254  0.387  0.507
Sc  0.140  0.763  0.280
Sc  0.457  0.097  0.914
Sc  0.686  0.404  0.372
Sc  0.314  0.904  0.628
Ag  0.399  0.517  0.797
Ag  0.601  0.017  0.203
Y  0.064  0.266  0.128
Y  0.936  0.766  0.872



The computed energies, referenced to the most stable structure and given in meV/atom, are w 216; x 0.